# GGA+U Tl6VO12, relaxed
# ρ in g cm⁻³: 9.17
# DFT total energy in eV per atom: -5.05
data_Tl6VO12
_chemical_formula_sum 'Tl18 V3 O36'
_cell_length_a 9.8424
_cell_length_b 9.8424
_cell_length_c 9.5182
_cell_angle_alpha 90.00
_cell_angle_beta 90.00
_cell_angle_gamma 120.00
_symmetry_space_group_name_H-M 'R -3'
_symmetry_Int_Tables_number 148
_symmetry_space_group_name_Hall '-R 3'
loop_
_atom_site_label
_atom_site_type_symbol
_atom_site_fract_x
_atom_site_fract_y
_atom_site_fract_z
_atom_site_occupancy
Tl1 Tl 0.0457 0.2586 0.1541 1
V1 V 0.0000 0.0000 0.5000 1
O1 O 0.0222 0.2245 0.8991 1
O2 O 0.0310 0.1752 0.3896 1